No. 1
ScCr2Rh PBE relaxed; total DFT energy (no corrections) = -62.03 eV for the cell shown; energy of formation = 479 meV per atom; density of states at the Fermi level = 1.3060 states/eV/atom; energy above the lowest structure with this stoichiometry = 0.634 eV per atom; SG = I-42d (122); total moment = 1.1 μB per formula unit
1.0
7.126 0.000 0.000
0.000 7.126 0.000
3.563 3.563 2.491
Sc Cr Rh
2 4 2
Direct
0.500 0.500 0.000
0.250 0.750 0.500
0.659 0.125 0.250
0.091 0.625 0.250
0.375 0.341 0.750
0.875 0.909 0.750
0.000 0.000 0.000
0.750 0.250 0.500



No. 2
LaMg4Cu PBE relaxed; total DFT energy (no corrections) = -14.45 eV for the cell shown; energy of formation = 158 meV per atom; density of states at the Fermi level = 0.9232 states/eV/atom; energy above the lowest structure with this stoichiometry = 0.302 eV per atom; SG = F-43m (216); total moment = 0.0 μB per formula unit
1.0
0.739 -4.337 3.947
-0.634 1.115 5.770
-4.659 -2.154 2.932
La Mg Cu
1 4 1
Direct
0.000 0.000 0.000
0.873 0.376 0.376
0.376 0.376 0.873
0.376 0.873 0.376
0.376 0.376 0.376
0.750 0.750 0.750



No. 3
Pm8TlGe3Te4 PBE relaxed; total DFT energy (no corrections) = -84.62 eV for the cell shown; density of states at the Fermi level = 0.4652 states/eV/atom; SG = R-3m (166); total moment = 0.0 μB per formula unit; formation energy (no corrections) = -1.115 eV/atom
1.0
8.743 0.000 0.000
0.000 8.901 0.105
-4.372 -4.368 6.186
Pm Tl Ge Te
8 1 3 4
Direct
0.250 0.734 0.984
0.250 0.734 0.500
0.260 0.279 0.519
0.734 0.734 0.984
0.266 0.266 0.016
0.740 0.721 0.481
0.750 0.266 0.500
0.750 0.266 0.016
0.000 0.500 0.000
0.500 0.500 0.000
0.500 0.500 0.500
0.000 0.500 0.500
0.500 0.000 0.000
0.500 0.000 0.500
0.000 0.000 0.000
0.000 0.000 0.500



No. 4
Pa2GeMoN6 PBE relaxed; total DFT energy (no corrections) = -91.02 eV for the cell shown; density of states at the Fermi level = 0.5040 states/eV/atom; SG = P4mm (99); total moment = 1.6 μB per formula unit; formation energy (no corrections) = -0.662 eV/atom
1.0
4.853 0.000 0.000
0.000 5.298 0.000
0.000 0.000 5.298
Pa Ge Mo N
2 1 1 6
Direct
0.993 0.500 0.000
0.993 0.000 0.500
0.572 0.000 0.000
0.573 0.500 0.500
0.731 0.247 0.247
0.731 0.247 0.753
0.194 0.500 0.500
0.195 0.000 0.000
0.731 0.753 0.753
0.731 0.753 0.247



No. 5
TmLuGaSn PBE relaxed; total DFT energy (no corrections) = -18.00 eV for the cell shown; energy of formation = -493 meV per atom; density of states at the Fermi level = 0.8365 states/eV/atom; SG = F-43m (216); total moment = 0.0 μB per formula unit
1.0
-0.863 5.052 0.418
-4.203 1.697 2.428
0.430 2.312 4.573
Lu Tm Sn Ga
1 1 1 1
Direct
0.000 0.000 0.000
0.500 0.500 0.500
0.250 0.250 0.250
0.750 0.750 0.750